[1]
Material: Mg7Cd5
Method: DFT, PBE
State: optimized geometry

Results
The calculation puts the volume at 263.3 Å³ per cell. The value obtained for the total energy is -1.38 eV per atom. The total magnetization comes out at 0.0000 μB/atom.

Cell and atoms, written as CIF:
```
data_Mg7Cd5
_symmetry_space_group_name_H-M 'P 1'
_symmetry_Int_Tables_number 1
_cell_length_a 3.274
_cell_length_b 8.174
_cell_length_c 10.482
_cell_angle_alpha 74.46
_cell_angle_beta 81.01
_cell_angle_gamma 78.45
loop_
_symmetry_equiv_pos_as_xyz
'x,y,z'
loop_
_atom_site_label
_atom_site_type_symbol
_atom_site_fract_x
_atom_site_fract_y
_atom_site_fract_z
_atom_site_occupancy
Mg1 Mg 0.642 0.970 0.745 1
Mg2 Mg 0.358 0.030 0.255 1
Mg3 Mg 0.030 0.692 0.248 1
Mg4 Mg 0.970 0.308 0.752 1
Mg5 Mg 0.333 0.329 0.005 1
Mg6 Mg 0.500 0.500 0.500 1
Mg7 Mg 0.667 0.671 0.995 1
Cd1 Cd 0.838 0.829 0.495 1
Cd2 Cd 0.162 0.171 0.505 1
Cd3 Cd 0.693 0.369 0.246 1
Cd4 Cd 0.307 0.631 0.754 1
Cd5 Cd 0.000 0.000 0.000 1
```


[2]
Material: La4Hg2I3
Method: DFT, PBE
State: optimized geometry

Results
The calculation puts the volume at 340.6 Å³ per cell. The total magnetization comes out at 0.0000 μB/atom. The formation energy without anion corrections is -0.873 eV/atom.

Cell and atoms, written as CIF:
```
data_La4Hg2I3
_symmetry_space_group_name_H-M 'P 1'
_symmetry_Int_Tables_number 1
_cell_length_a 4.440
_cell_length_b 4.440
_cell_length_c 19.951
_cell_angle_alpha 90.01
_cell_angle_beta 89.99
_cell_angle_gamma 120.00
loop_
_symmetry_equiv_pos_as_xyz
'x,y,z'
loop_
_atom_site_label
_atom_site_type_symbol
_atom_site_fract_x
_atom_site_fract_y
_atom_site_fract_z
_atom_site_occupancy
La1 La 0.333 0.667 0.894 1
La2 La 0.000 0.000 0.299 1
La3 La 0.000 0.000 0.701 1
La4 La 0.667 0.333 0.106 1
Hg1 Hg 0.667 0.333 0.798 1
Hg2 Hg 0.333 0.667 0.202 1
I1 I 0.666 0.334 0.403 1
I2 I 0.000 0.000 0.000 1
I3 I 0.334 0.666 0.597 1
```


[3]
Material: PmTm4Rh4
Method: DFT, PBE
State: optimized geometry

Results
The calculation puts the volume at 431.7 Å³ per cell. The value obtained for the total energy is -6.46 eV per atom. The total magnetization comes out at 0.0000 μB/atom.

Cell and atoms, written as CIF:
```
data_PmTm4Rh4
_symmetry_space_group_name_H-M 'P 1'
_symmetry_Int_Tables_number 1
_cell_length_a 5.550
_cell_length_b 8.819
_cell_length_c 8.819
_cell_angle_alpha 90.00
_cell_angle_beta 90.00
_cell_angle_gamma 90.00
loop_
_symmetry_equiv_pos_as_xyz
'x,y,z'
loop_
_atom_site_label
_atom_site_type_symbol
_atom_site_fract_x
_atom_site_fract_y
_atom_site_fract_z
_atom_site_occupancy
Pm1 Pm 0.000 0.000 0.000 1
Pm2 Pm 0.500 0.500 0.500 1
Tm1 Tm 0.413 0.327 0.907 1
Tm2 Tm 0.913 0.593 0.827 1
Tm3 Tm 0.413 0.673 0.093 1
Tm4 Tm 0.087 0.173 0.593 1
Tm5 Tm 0.587 0.907 0.673 1
Tm6 Tm 0.087 0.827 0.407 1
Tm7 Tm 0.913 0.407 0.173 1
Tm8 Tm 0.587 0.093 0.327 1
Rh1 Rh 0.588 0.786 0.371 1
Rh2 Rh 0.588 0.214 0.629 1
Rh3 Rh 0.088 0.871 0.714 1
Rh4 Rh 0.912 0.286 0.871 1
Rh5 Rh 0.912 0.714 0.129 1
Rh6 Rh 0.412 0.371 0.214 1
Rh7 Rh 0.412 0.629 0.786 1
Rh8 Rh 0.088 0.129 0.286 1
```


[4]
Material: TbPrCdGe
Method: DFT, PBE
State: optimized geometry

Results
The calculation puts the volume at 102.7 Å³ per cell. The value obtained for the total energy is -4.21 eV per atom. The total magnetization comes out at 0.0000 μB/atom.

Cell and atoms, written as CIF:
```
data_TbPrCdGe
_symmetry_space_group_name_H-M 'P 1'
_symmetry_Int_Tables_number 1
_cell_length_a 5.257
_cell_length_b 5.257
_cell_length_c 5.257
_cell_angle_alpha 60.00
_cell_angle_beta 60.00
_cell_angle_gamma 60.00
loop_
_symmetry_equiv_pos_as_xyz
'x,y,z'
loop_
_atom_site_label
_atom_site_type_symbol
_atom_site_fract_x
_atom_site_fract_y
_atom_site_fract_z
_atom_site_occupancy
Pr1 Pr 0.500 0.500 0.500 1
Ge1 Ge 0.250 0.250 0.250 1
Tb1 Tb 0.000 0.000 0.000 1
Cd1 Cd 0.750 0.750 0.750 1
```


[5]
Material: LiNbS2
Method: DFT, PBE
State: optimized geometry

Results
The calculation puts the volume at 178.2 Å³ per cell. The total magnetization comes out at 0.4668 μB/atom. The formation energy without anion corrections is -0.813 eV/atom.

Cell and atoms, written as CIF:
```
data_LiNbS2
_symmetry_space_group_name_H-M 'P 1'
_symmetry_Int_Tables_number 1
_cell_length_a 5.634
_cell_length_b 5.634
_cell_length_c 6.885
_cell_angle_alpha 65.85
_cell_angle_beta 65.85
_cell_angle_gamma 90.00
loop_
_symmetry_equiv_pos_as_xyz
'x,y,z'
loop_
_atom_site_label
_atom_site_type_symbol
_atom_site_fract_x
_atom_site_fract_y
_atom_site_fract_z
_atom_site_occupancy
Nb1 Nb 0.000 0.000 0.000 1
Nb2 Nb 0.750 0.250 0.500 1
S1 S 0.635 0.125 0.250 1
S2 S 0.115 0.625 0.250 1
S3 S 0.375 0.365 0.750 1
S4 S 0.875 0.885 0.750 1
Li1 Li 0.500 0.500 0.000 1
Li2 Li 0.250 0.750 0.500 1
```


[6]
Material: Sm6Cd2Ir
Method: DFT, PBE
State: optimized geometry

Results
The calculation puts the volume at 564.4 Å³ per cell. The value obtained for the total energy is -4.58 eV per atom. The total magnetization comes out at 0.0000 μB/atom.

Cell and atoms, written as CIF:
```
data_Sm6Cd2Ir
_symmetry_space_group_name_H-M 'P 1'
_symmetry_Int_Tables_number 1
_cell_length_a 7.075
_cell_length_b 7.469
_cell_length_c 10.682
_cell_angle_alpha 90.00
_cell_angle_beta 89.62
_cell_angle_gamma 90.00
loop_
_symmetry_equiv_pos_as_xyz
'x,y,z'
loop_
_atom_site_label
_atom_site_type_symbol
_atom_site_fract_x
_atom_site_fract_y
_atom_site_fract_z
_atom_site_occupancy
Sm1 Sm 0.898 0.000 0.248 1
Sm2 Sm 0.806 0.685 0.543 1
Sm3 Sm 0.823 0.698 0.960 1
Sm4 Sm 0.677 0.198 0.540 1
Sm5 Sm 0.694 0.185 0.957 1
Sm6 Sm 0.602 0.500 0.252 1
Sm7 Sm 0.102 0.000 0.752 1
Sm8 Sm 0.194 0.315 0.457 1
Sm9 Sm 0.177 0.302 0.040 1
Sm10 Sm 0.323 0.802 0.460 1
Sm11 Sm 0.306 0.815 0.043 1
Sm12 Sm 0.398 0.500 0.748 1
Cd1 Cd 0.954 0.411 0.750 1
Cd2 Cd 0.546 0.911 0.750 1
Cd3 Cd 0.454 0.089 0.250 1
Cd4 Cd 0.046 0.589 0.250 1
Ir1 Ir 0.500 0.500 0.000 1
Ir2 Ir 0.000 0.000 0.500 1
```


[7]
Material: Tl6Hg8Au
Method: DFT, PBE
State: optimized geometry

Results
The calculation puts the volume at 454.0 Å³ per cell. The value obtained for the total energy is -1.32 eV per atom. The total magnetization comes out at 0.0000 μB/atom.

Cell and atoms, written as CIF:
```
data_Tl6Hg8Au
_symmetry_space_group_name_H-M 'P 1'
_symmetry_Int_Tables_number 1
_cell_length_a 8.042
_cell_length_b 8.042
_cell_length_c 9.341
_cell_angle_alpha 64.51
_cell_angle_beta 64.51
_cell_angle_gamma 60.00
loop_
_symmetry_equiv_pos_as_xyz
'x,y,z'
loop_
_atom_site_label
_atom_site_type_symbol
_atom_site_fract_x
_atom_site_fract_y
_atom_site_fract_z
_atom_site_occupancy
Tl1 Tl 0.329 0.142 0.824 1
Tl2 Tl 0.858 0.295 0.176 1
Tl3 Tl 0.295 0.671 0.176 1
Tl4 Tl 0.705 0.329 0.824 1
Tl5 Tl 0.142 0.705 0.824 1
Tl6 Tl 0.671 0.858 0.176 1
Hg1 Hg 0.463 0.215 0.398 1
Hg2 Hg 0.785 0.075 0.602 1
Hg3 Hg 0.075 0.537 0.602 1
Hg4 Hg 0.700 0.700 0.899 1
Hg5 Hg 0.300 0.300 0.101 1
Hg6 Hg 0.925 0.463 0.398 1
Hg7 Hg 0.215 0.925 0.398 1
Hg8 Hg 0.537 0.785 0.602 1
Au1 Au 0.000 0.000 0.000 1
```


[8]
Material: Zr2AsRu
Method: DFT, PBE
State: optimized geometry

Results
The calculation puts the volume at 73.1 Å³ per cell. The value obtained for the total energy is -8.26 eV per atom. The total magnetization comes out at 0.0000 μB/atom.

Cell and atoms, written as CIF:
```
data_Zr2AsRu
_symmetry_space_group_name_H-M 'P 1'
_symmetry_Int_Tables_number 1
_cell_length_a 4.935
_cell_length_b 4.935
_cell_length_c 4.647
_cell_angle_alpha 62.12
_cell_angle_beta 62.12
_cell_angle_gamma 48.89
loop_
_symmetry_equiv_pos_as_xyz
'x,y,z'
loop_
_atom_site_label
_atom_site_type_symbol
_atom_site_fract_x
_atom_site_fract_y
_atom_site_fract_z
_atom_site_occupancy
Ru1 Ru 0.250 0.250 0.250 1
As1 As 0.750 0.750 0.750 1
Zr1 Zr 0.992 0.992 0.008 1
Zr2 Zr 0.508 0.508 0.492 1
```


[9]
Material: BiTe2Mo
Method: DFT, PBE
State: optimized geometry

Results
The calculation puts the volume at 111.3 Å³ per cell. The total magnetization comes out at 0.0000 μB/atom. The formation energy without anion corrections is 0.053 eV/atom.

Cell and atoms, written as CIF:
```
data_BiTe2Mo
_symmetry_space_group_name_H-M 'P 1'
_symmetry_Int_Tables_number 1
_cell_length_a 10.369
_cell_length_b 10.369
_cell_length_c 10.369
_cell_angle_alpha 19.75
_cell_angle_beta 19.75
_cell_angle_gamma 19.75
loop_
_symmetry_equiv_pos_as_xyz
'x,y,z'
loop_
_atom_site_label
_atom_site_type_symbol
_atom_site_fract_x
_atom_site_fract_y
_atom_site_fract_z
_atom_site_occupancy
Mo1 Mo 0.500 0.500 0.500 1
Te1 Te 0.893 0.893 0.893 1
Te2 Te 0.107 0.107 0.107 1
Bi1 Bi 0.000 0.000 0.000 1
```


[10]
Material: KSi3O
Method: DFT, PBE
State: optimized geometry

Results
The calculation puts the volume at 91.2 Å³ per cell. The total magnetization comes out at 0.0000 μB/atom. The formation energy without anion corrections is 0.432 eV/atom.

Cell and atoms, written as CIF:
```
data_KSi3O
_symmetry_space_group_name_H-M 'P 1'
_symmetry_Int_Tables_number 1
_cell_length_a 4.501
_cell_length_b 4.501
_cell_length_c 4.501
_cell_angle_alpha 90.00
_cell_angle_beta 90.00
_cell_angle_gamma 90.00
loop_
_symmetry_equiv_pos_as_xyz
'x,y,z'
loop_
_atom_site_label
_atom_site_type_symbol
_atom_site_fract_x
_atom_site_fract_y
_atom_site_fract_z
_atom_site_occupancy
K1 K 0.500 0.500 0.500 1
Si1 Si 0.000 0.500 0.000 1
Si2 Si 0.000 0.000 0.500 1
Si3 Si 0.500 0.000 0.000 1
O1 O 0.000 0.000 0.000 1
```


[11]
Material: PmMg2Pt9
Method: DFT, PBE
State: optimized geometry

Results
The calculation puts the volume at 217.5 Å³ per cell. The value obtained for the total energy is -5.83 eV per atom. The total magnetization comes out at 0.0000 μB/atom.

Cell and atoms, written as CIF:
```
data_PmMg2Pt9
_symmetry_space_group_name_H-M 'P 1'
_symmetry_Int_Tables_number 1
_cell_length_a 5.363
_cell_length_b 5.363
_cell_length_c 9.263
_cell_angle_alpha 73.17
_cell_angle_beta 73.17
_cell_angle_gamma 60.00
loop_
_symmetry_equiv_pos_as_xyz
'x,y,z'
loop_
_atom_site_label
_atom_site_type_symbol
_atom_site_fract_x
_atom_site_fract_y
_atom_site_fract_z
_atom_site_occupancy
Pm1 Pm 0.000 0.000 0.000 1
Mg1 Mg 0.855 0.855 0.434 1
Mg2 Mg 0.145 0.145 0.566 1
Pt1 Pt 0.667 0.667 0.000 1
Pt2 Pt 0.333 0.333 0.000 1
Pt3 Pt 0.500 0.500 0.500 1
Pt4 Pt 0.411 0.411 0.259 1
Pt5 Pt 0.919 0.411 0.259 1
Pt6 Pt 0.411 0.919 0.259 1
Pt7 Pt 0.589 0.589 0.741 1
Pt8 Pt 0.589 0.081 0.741 1
Pt9 Pt 0.081 0.589 0.741 1
```